[1]
Below is a relaxed Ca2PtBr crystal, with properties calculated at the PBE-GGA level.

Cell: 3.560 3.602 8.494 Å, 67.02 90.00 90.00°
Sites, in units of the cell vectors:
Pt 0.500 0.250 0.250
Ca 0.000 0.945 0.039
Ca 0.000 0.555 0.461
Br 0.500 0.750 0.750

Calculated values
- SG = P2/m (10)
- magnetic moment (μB per atom) = 0.000
- formation energy from raw total energies (kcal/mol of atoms) = -26.94


[2]
Below is a relaxed Dy2Ge6Pd crystal, with properties calculated at the PBE-GGA level.

Cell: 5.788 5.788 21.584 Å, 90.00 90.00 90.48°
Sites, in units of the cell vectors:
Ge 0.118 0.118 0.456
Ge 0.367 0.367 0.528
Dy 0.376 0.873 0.580
Dy 0.124 0.627 0.080
Dy 0.624 0.127 0.420
Ge 0.133 0.133 0.028
Ge 0.595 0.595 0.807
Ge 0.153 0.153 0.808
Pd 0.127 0.127 0.142
Dy 0.876 0.373 0.920
Pd 0.627 0.627 0.358
Ge 0.904 0.348 0.308
Ge 0.618 0.618 0.044
Ge 0.652 0.096 0.692
Ge 0.152 0.596 0.808
Ge 0.867 0.867 0.972
Ge 0.653 0.653 0.692
Ge 0.382 0.382 0.956
Ge 0.905 0.905 0.307
Pd 0.873 0.873 0.858
Dy 0.127 0.624 0.420
Ge 0.096 0.652 0.692
Ge 0.095 0.095 0.693
Dy 0.873 0.376 0.580
Ge 0.848 0.404 0.192
Ge 0.348 0.904 0.308
Dy 0.373 0.876 0.920
Ge 0.596 0.152 0.808
Dy 0.627 0.124 0.080
Ge 0.404 0.848 0.192
Ge 0.347 0.347 0.308
Ge 0.882 0.882 0.544
Ge 0.847 0.847 0.192
Pd 0.373 0.373 0.642
Ge 0.405 0.405 0.193
Ge 0.633 0.633 0.472

Calculated values
- ΔH_f (0 K) (meV per atom) = -579
- SG = Cmce (64)
- magnetic moment (μB per atom) = 0.000


[3]
Below is a relaxed MnZnW2 crystal, with properties calculated at the PBE-GGA level.

Cell: 5.284 5.039 2.664 Å, 81.72 76.73 117.63°
Each line ends with the local moment (μB).
Sites, in units of the cell vectors:
W 0.000 0.000 0.000  -0.15
W 0.500 0.000 0.500  -0.15
Zn 0.000 0.500 0.500  -0.02
Mn 0.500 0.500 0.000  2.03

Calculated values
- ΔH_f (0 K) (meV per atom) = 257
- SG = C2/m (12)
- magnetic moment (μB per atom) = 0.419


[4]
Below is a relaxed GeBO2 crystal, with properties calculated at the PBE-GGA level.

Cell: 6.642 6.642 6.642 Å, 25.96 25.96 25.96°
Sites, in units of the cell vectors:
O 0.934 0.934 0.934
O 0.066 0.066 0.066
Ge 0.500 0.500 0.500
B 0.000 0.000 0.000

Calculated values
- SG = R-3m (166)
- magnetic moment (μB per atom) = 0.000
- formation energy from raw total energies (kcal/mol of atoms) = -26.55


[5]
Below is a relaxed CsCuGe2W crystal, with properties calculated at the PBE-GGA level.

Cell: 4.976 5.219 4.976 Å, 90.00 90.00 90.00°
Sites, in units of the cell vectors:
Ge 0.000 0.000 0.500
Cs 0.500 0.500 0.500
Cu 0.000 0.500 0.000
Ge 0.500 0.000 0.000
W 0.000 0.000 0.000

Calculated values
- ΔH_f (0 K) (meV per atom) = 463
- SG = P4/mmm (123)
- magnetic moment (μB per atom) = 0.000


[6]
Below is a relaxed YTh2Te5 crystal, with properties calculated at the PBE-GGA level.

Cell: 6.214 7.634 14.963 Å, 90.00 90.00 114.02°
Sites, in units of the cell vectors:
Th 0.160 0.319 0.554
Te 0.951 0.902 0.876
Te 0.049 0.098 0.376
Te 0.951 0.902 0.624
Th 0.840 0.681 0.446
Y 0.217 0.435 0.250
Te 0.049 0.098 0.124
Th 0.160 0.319 0.946
Te 0.344 0.688 0.075
Te 0.656 0.312 0.575
Te 0.344 0.688 0.425
Te 0.748 0.497 0.250
Y 0.783 0.565 0.750
Te 0.656 0.312 0.925
Te 0.252 0.503 0.750
Th 0.840 0.681 0.054

Calculated values
- SG = Cmcm (63)
- magnetic moment (μB per atom) = 0.000
- formation energy from raw total energies (kcal/mol of atoms) = -26.93


[7]
Below is a relaxed KYSb2 crystal, with properties calculated at the PBE-GGA level.

Cell: 8.380 8.380 8.380 Å, 151.31 148.55 43.09°
Sites, in units of the cell vectors:
K 0.207 0.707 0.500
Y 0.462 0.462 0.000
Sb 0.830 0.330 0.500
Sb 0.000 0.000 0.000

Calculated values
- SG = Imm2 (44)
- magnetic moment (μB per atom) = 0.000
- formation energy from raw total energies (kcal/mol of atoms) = -12.00


[8]
Below is a relaxed HoEr3Ni crystal, with properties calculated at the PBE-GGA level.

Cell: 7.068 7.863 9.872 Å, 107.12 90.00 90.00°
Sites, in units of the cell vectors:
Er 0.291 0.565 0.025
Ho 0.040 0.314 0.740
Er 0.631 0.915 0.106
Ni 0.739 0.064 0.393
Er 0.209 0.565 0.525
Er 0.509 0.219 0.623
Er 0.791 0.435 0.475
Ho 0.460 0.314 0.240
Ni 0.761 0.064 0.893
Ho 0.960 0.686 0.260
Er 0.991 0.219 0.123
Ho 0.540 0.686 0.760
Er 0.709 0.435 0.975
Er 0.869 0.915 0.606
Er 0.491 0.781 0.377
Er 0.009 0.781 0.877
Ni 0.261 0.936 0.607
Ni 0.239 0.936 0.107
Er 0.369 0.085 0.894
Er 0.131 0.085 0.394

Calculated values
- ΔH_f (0 K) (meV per atom) = -120
- SG = P2_1/c (14)
- magnetic moment (μB per atom) = 0.000